# PBE with a Hubbard U CrAgBrF2, relaxed
data_CrAgBrF2
_chemical_formula_sum 'Cr1 Ag1 Br1 F2'
_symmetry_space_group_name_H-M 'P 1'
_symmetry_Int_Tables_number 1
_symmetry_space_group_name_Hall 'P 1'
_cell_length_a 3.9907
_cell_length_b 3.9907
_cell_length_c 6.3120
_cell_angle_alpha 90.00
_cell_angle_beta 90.00
_cell_angle_gamma 90.00
loop_
_atom_site_label
_atom_site_fract_x
_atom_site_fract_y
_atom_site_fract_z
Cr1 0.0000 0.0000 0.0000
Ag1 0.5000 0.5000 0.5000
Br1 0.0000 0.0000 0.5000
F1 0.0000 0.5000 0.0000
F2 0.5000 0.0000 0.0000
# **N(E_F)**: 0.21 states/eV/f.u.
# **Crystal system**: tetragonal
# **Uncorrected energy**: -23.7 eV for the cell shown